Compound: RbZrMnF7
Source: the Alexandria database
Functional: PBE+U
Structure: optimized geometry

DOS at the Fermi energy in states/eV per cell: 0.00
Raw total energy in eV per cell: -125.772

Unit cell a=6.5344 b=6.5344 c=8.4164 alpha=90.00 beta=90.00 gamma=117.64
Fractional positions:
Zr: 0.1905 0.8095 0.7500
Zr: 0.8095 0.1905 0.2500
F: 0.8011 0.1989 0.4943
F: 0.5294 0.8358 0.7500
F: 0.1642 0.4706 0.7500
F: 0.8358 0.5294 0.2500
F: 0.8011 0.1989 0.0057
F: 0.8402 0.5565 0.7500
F: 0.4706 0.1642 0.2500
F: 0.5565 0.8402 0.2500
F: 0.0049 0.9951 0.7500
F: 0.1989 0.8011 0.9943
F: 0.4435 0.1598 0.7500
F: 0.1598 0.4435 0.2500
F: 0.1989 0.8011 0.5057
F: 0.9951 0.0049 0.2500
Rb: 0.5000 0.5000 0.0000
Rb: 0.5000 0.5000 0.5000
Mn: 0.1911 0.8089 0.2500
Mn: 0.8089 0.1911 0.7500